The following is a DFT calculation (PBE-GGA) of a relaxed structure of Dy3MnB2Pt9. Values from VASP.

The structure in Quantum ESPRESSO input format:
```
&SYSTEM
  ibrav = 0, nat = 15, ntyp = 4
/
ATOMIC_SPECIES
Dy 162.50 Dy.upf
Mn 54.94 Mn.upf
B 10.81 B.upf
Pt 195.08 Pt.upf
CELL_PARAMETERS angstrom
5.721 0.000 0.000
-2.861 4.955 0.000
0.000 0.000 9.260
ATOMIC_POSITIONS crystal
Dy 0.000 0.000 0.000
Dy 0.333 0.667 0.600
Dy 0.667 0.333 0.400
Mn 0.000 0.000 0.500
B 0.333 0.667 0.148
B 0.667 0.333 0.852
Pt 0.000 0.500 0.000
Pt 0.164 0.329 0.287
Pt 0.164 0.836 0.287
Pt 0.329 0.164 0.713
Pt 0.500 0.000 0.000
Pt 0.500 0.500 0.000
Pt 0.671 0.836 0.287
Pt 0.836 0.164 0.713
Pt 0.836 0.671 0.713
```



The following is a DFT calculation (PBE-GGA) of a relaxed structure of Dy2MnB2Ru5. Values from VASP.

The structure in Quantum ESPRESSO input format:
```
&SYSTEM
  ibrav = 0, nat = 20, ntyp = 4
/
ATOMIC_SPECIES
Dy 162.50 Dy.upf
Mn 54.94 Mn.upf
B 10.81 B.upf
Ru 101.07 Ru.upf
CELL_PARAMETERS angstrom
9.550 0.000 0.000
0.000 9.550 0.000
0.000 0.000 3.099
ATOMIC_POSITIONS crystal
Dy 0.176 0.324 0.000
Dy 0.324 0.824 0.000
Dy 0.676 0.176 0.000
Dy 0.824 0.676 0.000
Mn 0.000 0.000 0.000
Mn 0.500 0.500 0.000
B 0.123 0.623 0.000
B 0.377 0.123 0.000
B 0.623 0.877 0.000
B 0.877 0.377 0.000
Ru 0.000 0.500 0.500
Ru 0.070 0.785 0.500
Ru 0.215 0.070 0.500
Ru 0.285 0.570 0.500
Ru 0.430 0.285 0.500
Ru 0.500 0.000 0.500
Ru 0.570 0.715 0.500
Ru 0.715 0.430 0.500
Ru 0.785 0.930 0.500
Ru 0.930 0.215 0.500
```



The following is a DFT calculation (PBE-GGA) of a relaxed structure of Dy3B7Mo. Values from VASP.

The structure in Quantum ESPRESSO input format:
```
&SYSTEM
  ibrav = 0, nat = 22, ntyp = 3
/
ATOMIC_SPECIES
Dy 162.50 Dy.upf
B 10.81 B.upf
Mo 95.94 Mo.upf
CELL_PARAMETERS angstrom
1.737 -8.008 0.000
1.737 8.008 0.000
0.000 0.000 9.477
ATOMIC_POSITIONS crystal
Dy 0.106 0.894 0.560
Dy 0.106 0.894 0.940
Dy 0.243 0.757 0.250
Dy 0.757 0.243 0.750
Dy 0.894 0.106 0.060
Dy 0.894 0.106 0.440
B 0.272 0.728 0.532
B 0.272 0.728 0.968
B 0.365 0.635 0.648
B 0.365 0.635 0.852
B 0.457 0.543 0.250
B 0.480 0.520 0.592
B 0.480 0.520 0.908
B 0.520 0.480 0.092
B 0.520 0.480 0.408
B 0.543 0.457 0.750
B 0.635 0.365 0.148
B 0.635 0.365 0.352
B 0.728 0.272 0.032
B 0.728 0.272 0.468
Mo 0.053 0.947 0.250
Mo 0.947 0.053 0.750
```



The following is a DFT calculation (PBE-GGA) of a relaxed structure of DyB6Mo2. Values from VASP.

The structure in Quantum ESPRESSO input format:
```
&SYSTEM
  ibrav = 0, nat = 9, ntyp = 3
/
ATOMIC_SPECIES
Dy 162.50 Dy.upf
B 10.81 B.upf
Mo 95.94 Mo.upf
CELL_PARAMETERS angstrom
-1.567 3.508 4.264
1.567 -3.508 4.264
1.567 3.508 -4.264
ATOMIC_POSITIONS crystal
Dy 0.000 0.000 0.000
B 0.065 0.306 0.759
B 0.330 0.500 0.830
B 0.452 0.694 0.759
B 0.548 0.306 0.241
B 0.670 0.500 0.170
B 0.935 0.694 0.241
Mo 0.346 0.846 0.500
Mo 0.654 0.154 0.500
```



The following is a DFT calculation (PBE-GGA) of a relaxed structure of DyB14Mo. Values from VASP.

The structure in Quantum ESPRESSO input format:
```
&SYSTEM
  ibrav = 0, nat = 32, ntyp = 3
/
ATOMIC_SPECIES
Dy 162.50 Dy.upf
B 10.81 B.upf
Mo 95.94 Mo.upf
CELL_PARAMETERS angstrom
-2.938 5.455 4.090
2.938 -5.455 4.090
2.938 5.455 -4.090
ATOMIC_POSITIONS crystal
Dy 0.374 0.124 0.250
Dy 0.626 0.876 0.750
B 0.008 0.127 0.881
B 0.029 0.206 0.332
B 0.029 0.698 0.823
B 0.092 0.672 0.420
B 0.198 0.530 0.668
B 0.228 0.503 0.406
B 0.228 0.822 0.725
B 0.248 0.328 0.920
B 0.254 0.873 0.381
B 0.362 0.530 0.832
B 0.375 0.206 0.677
B 0.375 0.698 0.168
B 0.403 0.178 0.906
B 0.403 0.497 0.225
B 0.597 0.503 0.775
B 0.597 0.822 0.094
B 0.625 0.302 0.832
B 0.625 0.794 0.323
B 0.638 0.470 0.168
B 0.746 0.127 0.619
B 0.752 0.672 0.080
B 0.772 0.178 0.275
B 0.772 0.497 0.594
B 0.802 0.470 0.332
B 0.908 0.328 0.580
B 0.971 0.302 0.177
B 0.971 0.794 0.668
B 0.992 0.873 0.119
Mo 0.000 0.000 0.500
Mo 0.000 0.500 0.000
```



The following is a DFT calculation (PBE-GGA) of a relaxed structure of DyB6Mo2. Values from VASP.

The structure in Quantum ESPRESSO input format:
```
&SYSTEM
  ibrav = 0, nat = 9, ntyp = 3
/
ATOMIC_SPECIES
Dy 162.50 Dy.upf
B 10.81 B.upf
Mo 95.94 Mo.upf
CELL_PARAMETERS angstrom
5.370 0.000 0.000
-2.685 4.651 0.000
0.000 0.000 3.501
ATOMIC_POSITIONS crystal
Dy 0.000 0.000 0.000
B 0.000 0.340 0.500
B 0.000 0.660 0.500
B 0.340 0.000 0.500
B 0.340 0.340 0.500
B 0.660 0.000 0.500
B 0.660 0.660 0.500
Mo 0.333 0.667 0.000
Mo 0.667 0.333 0.000
```



Across the entries above, energy takes the values -6.86; -8.18; -7.08; -7.86; -6.94; -7.79 eV per atom, respectively.